[1]
VASP calculation (GGA-PBE) on an optimized crystal structure of Rb2Cd3Hg.

As for the space group: No. 8. The energy of formation from the pure elements is -65 kJ/mol of formula units. The total energy comes out at -0.942 eV/atom.

Cell: 6.800 6.800 8.836 Å, 129.78 129.78 46.30°
Fractional coordinates of all 6 atoms:
Rb 0.000 0.000 0.000
Rb 0.128 0.128 0.635
Cd 0.395 0.395 0.572
Cd 0.405 0.405 0.233
Cd 0.726 0.726 0.406
Hg 0.723 0.723 0.039

[2]
VASP calculation (GGA-PBE) on an optimized crystal structure of Rb3CdHg.

As for the distance to the lowest polymorph of the same formula: 0 meV per atom. As for the space group: No. 59. The energy of formation from the pure elements is -48 kJ/mol of formula units. The total energy comes out at -0.923 eV/atom.

Cell: 5.646 11.299 8.191 Å, 90.00 90.00 90.00°
Fractional coordinates of all 10 atoms:
Rb 0.250 0.045 0.247
Rb 0.250 0.250 0.753
Rb 0.250 0.455 0.247
Rb 0.750 0.545 0.753
Rb 0.750 0.750 0.247
Rb 0.750 0.955 0.753
Cd 0.250 0.750 0.572
Cd 0.750 0.250 0.428
Hg 0.250 0.750 0.934
Hg 0.750 0.250 0.066